# CrAgTe2I | the Alexandria database | GGA-PBE | relaxed
data_CrAgTe2I
_cell_length_a 5.185
_cell_length_b 5.185
_cell_length_c 5.784
_cell_angle_alpha 90.00
_cell_angle_beta 90.00
_cell_angle_gamma 90.00
_space_group_name_H-M_alt 'P 4/m m m'
_space_group_IT_number 123
_space_group_name_Hall '-P 4 2'
loop_
_atom_site_label
_atom_site_fract_x
_atom_site_fract_y
_atom_site_fract_z
_atom_site_occupancy
Cr1 0.000 0.000 0.000 1
Ag1 0.500 0.500 0.500 1
Te1 0.000 0.500 0.000 1
I1 0.000 0.000 0.500 1
# **Energy relative to the elements, uncorrected**: 35 kJ/mol of atoms
# **Final energy**: -18.49 eV/cell
# **Fermi-level density of states**: 4.07 states/eV/f.u.
# **E above lowest polymorph**: 0.0000 eV per atom
# **Size of the total moment**: 2.485 μB/f.u.
# **Calculated volume**: 156 Å³ per cell